The following is a GGA-PBE calculation of a relaxed structure of Ac8La2Nd, from Alexandria via LeMat-Bulk.

Cell and atoms, written as POSCAR:
```
Ac8La2Nd
1.0
6.314 0.309 0.265
1.255 9.120 -0.546
1.255 0.875 9.094
Ac Nd La
8 1 2
direct
0.804 0.142 0.654
0.196 0.346 0.858
0.112 0.731 0.731
0.294 0.417 0.417
0.804 0.654 0.142
0.888 0.269 0.269
0.196 0.858 0.346
0.706 0.583 0.583
0.000 0.000 0.000
0.513 0.867 0.867
0.487 0.133 0.133
```

The following is a GGA-PBE calculation of a relaxed structure of Ac8La2Nd3, from Alexandria via LeMat-Bulk.

Cell and atoms, written as POSCAR:
```
Ac8La2Nd3
1.0
6.872 0.559 2.652
2.578 8.814 4.845
1.139 0.609 10.302
Ac Nd La
8 3 2
direct
0.459 0.802 0.433
0.541 0.198 0.567
0.012 0.187 0.187
0.987 0.400 0.400
0.988 0.813 0.813
0.459 0.433 0.802
0.541 0.567 0.198
0.013 0.600 0.600
0.500 0.000 0.000
0.000 0.835 0.165
0.000 0.165 0.835
0.471 0.806 0.806
0.529 0.194 0.194
```

So what do the calculations give for total energy? Going down the list: -3.958, -4.183 eV per atom.